Entry 1:
12
Lattice="4.236 0.000 0.000 0.000 8.430 0.323 -2.118 -2.409 8.882" Properties=species:S:1:pos:R:3 comment="Ce6Ge2AsSe3 | Alexandria via LeMat-Bulk | GGA-PBE | relaxed" raw_formation_energy_ev_per_atom=-1.409 dos_at_fermi_per_ev_cell=32.2 spacegroup="No. 12" volume_a3_per_atom=26.71 pbc="T T T"
Ge 2.118 4.018 6.142
Ge 0.000 2.004 3.063
Se 2.118 -0.201 5.976
Se 0.000 6.222 3.229
Se 2.118 4.215 0.161
Ce 0.000 1.932 6.040
Ce 2.118 4.090 3.165
Ce 2.118 -0.076 2.968
Ce 2.118 3.943 9.108
Ce 0.000 2.079 0.097
Ce 0.000 6.097 6.237
As 2.118 0.000 0.000

=====

Entry 2:
8
Lattice="-0.466 -2.682 -3.233 6.649 1.811 -2.462 4.988 -4.440 2.965" Properties=species:S:1:pos:R:3 comment="Ce4GeAs2Se | Alexandria via LeMat-Bulk | GGA-PBE | relaxed" raw_formation_energy_ev_per_atom=-1.363 dos_at_fermi_per_ev_cell=19.6 spacegroup="No. 10" volume_a3_per_atom=26.63 pbc="T T T"
Ce 8.734 -1.951 0.359
Ce 6.017 -1.095 -2.723
Ce 2.437 -3.360 -3.089
Ce 5.153 -4.216 -0.007
Ge 5.819 -1.314 0.251
As 4.988 -4.440 2.965
As 2.261 -3.561 -0.134
Se 8.080 -4.876 0.117

=====

Entry 3:
12
Lattice="4.351 0.000 0.000 0.000 8.779 0.244 -2.176 -2.601 9.204" Properties=species:S:1:pos:R:3 comment="Ce6Ge2Te3As | Alexandria via LeMat-Bulk | GGA-PBE | relaxed" raw_formation_energy_ev_per_atom=-1.197 dos_at_fermi_per_ev_cell=37.2 spacegroup="No. 12" volume_a3_per_atom=29.53 pbc="T T T"
Ge 2.176 4.126 6.306
Ge 0.000 2.052 3.142
As 2.176 0.000 0.000
Te 2.176 4.389 0.122
Te 0.000 6.447 3.270
Te 2.176 -0.270 6.179
Ce 2.176 4.109 3.305
Ce 0.000 2.069 6.144
Ce 2.176 0.005 2.993
Ce 2.176 4.130 9.294
Ce 0.000 6.173 6.455
Ce 0.000 2.048 0.155

=====

Entry 4:
8
Lattice="4.346 0.000 0.000 0.000 7.638 -0.191 0.000 2.650 7.043" Properties=species:S:1:pos:R:3 comment="Ce4GeTe2As | Alexandria via LeMat-Bulk | GGA-PBE | relaxed" raw_formation_energy_ev_per_atom=-1.256 dos_at_fermi_per_ev_cell=24.2 spacegroup="No. 10" volume_a3_per_atom=29.50 pbc="T T T"
Ce 2.173 6.226 1.679
Ce 0.000 7.555 5.201
Ce 4.346 2.733 1.651
Ce 2.173 4.062 5.174
Te 0.000 2.650 7.043
Te 2.173 1.325 3.522
As 0.000 5.144 3.426
Ge 2.173 3.819 -0.095

=====

Entry 5:
12
Lattice="-0.537 -3.903 -1.813 4.304 2.735 -7.162 7.089 -1.623 6.581" Properties=species:S:1:pos:R:3 comment="Ce6GeTe3As2 | Alexandria via LeMat-Bulk | GGA-PBE | relaxed" raw_formation_energy_ev_per_atom=-1.311 dos_at_fermi_per_ev_cell=38.6 spacegroup="No. 12" volume_a3_per_atom=29.42 pbc="T T T"
Ce 2.350 -2.838 0.227
Ce 4.532 -1.624 -3.033
Ce 6.323 -1.167 0.640
Ce 9.761 -3.399 -0.760
Ce 8.505 0.047 -2.621
Ce 1.094 0.608 -1.633
Te 1.883 -0.584 -4.487
Te 5.861 1.087 -4.077
Te 4.995 -3.879 1.683
As 7.141 -2.511 -1.896
As 3.714 -0.280 -0.497
Ge -0.269 -1.951 -0.906

=====

Entry 6:
4
Lattice="-1.746 -0.875 3.785 2.392 -1.636 3.121 1.746 5.577 4.491" Properties=species:S:1:pos:R:3 comment="CeThGeAs | Alexandria via LeMat-Bulk | GGA-PBE | relaxed" delta_e_f_ev_per_atom=-1.0840 dos_at_fermi_per_ev_cell=5.0 spacegroup="No. 160" volume_a3_per_atom=27.29 pbc="T T T"
As 2.056 3.399 8.923
Ce 0.905 -1.425 7.277
Ge 0.848 1.814 3.207
Th 1.451 2.604 6.064

=====

Entry 7:
14
Lattice="3.882 0.000 0.000 0.000 7.118 0.000 0.000 0.000 7.118" Properties=species:S:1:pos:R:3 comment="Ce2AsH4 | Alexandria via LeMat-Bulk | GGA-PBE | relaxed" dft_energy_ev_per_atom=-4.93 dos_at_fermi_per_ev_cell=19.3 spacegroup="No. 136" volume_a3_per_atom=14.05 pbc="T T T"
As 0.000 3.559 3.559
As 1.941 0.000 0.000
H 0.000 4.739 6.414
H 1.941 1.181 4.262
H 0.000 2.378 0.703
H 0.000 6.414 4.739
H 1.941 2.856 5.937
H 1.941 5.937 2.856
H 0.000 0.703 2.378
H 1.941 4.262 1.181
Ce 0.000 5.574 1.544
Ce 1.941 5.103 5.103
Ce 1.941 2.015 2.015
Ce 0.000 1.544 5.574

=====

Entry 8:
14
Lattice="7.251 0.179 0.164 -3.070 6.571 0.164 -0.462 -0.746 7.010" Properties=species:S:1:pos:R:3 comment="Ce3As3H | Alexandria via LeMat-Bulk | GGA-PBE | relaxed" dft_energy_ev_per_atom=-6.04 dos_at_fermi_per_ev_cell=35.5 spacegroup="No. 12" volume_a3_per_atom=24.26 pbc="T T T"
As 2.258 3.646 2.731
As 1.461 2.359 4.608
As 5.100 1.512 0.164
As -0.919 5.239 0.164
As -1.590 5.139 3.670
As 5.309 0.866 3.670
Ce 0.077 0.124 5.600
Ce 3.642 5.881 1.739
Ce -0.552 2.914 2.011
Ce 0.864 5.201 5.329
Ce 2.855 0.804 2.011
Ce 4.271 3.091 5.329
H 3.001 4.845 6.294
H 0.718 1.160 1.045

=====

Entry 9:
9
Lattice="5.250 0.000 0.000 -2.625 6.058 -0.608 0.000 -1.816 6.048" Properties=species:S:1:pos:R:3 comment="Ce5As2H2 | Alexandria via LeMat-Bulk | GGA-PBE | relaxed" dft_energy_ev_per_atom=-5.70 dos_at_fermi_per_ev_cell=21.7 spacegroup="No. 12" volume_a3_per_atom=20.73 pbc="T T T"
As 0.000 3.302 3.798
As 2.625 0.941 1.642
H 0.000 0.378 5.319
H 2.625 3.865 0.121
Ce 0.000 4.091 0.692
Ce 0.000 0.439 3.056
Ce 2.625 3.803 2.384
Ce 0.000 0.000 0.000
Ce 2.625 0.152 4.749

=====

Entry 10:
12
Lattice="-6.102 -3.140 -2.283 0.869 -7.173 -0.114 -1.600 -3.927 5.849" Properties=species:S:1:pos:R:3 comment="Ce6As5H | Alexandria via LeMat-Bulk | GGA-PBE | relaxed" dft_energy_ev_per_atom=-6.37 dos_at_fermi_per_ev_cell=31.4 spacegroup="No. 12" volume_a3_per_atom=25.68 pbc="T T T"
Ce -1.784 -9.987 3.242
Ce -1.532 -6.286 1.305
Ce -5.301 -7.954 2.147
Ce -1.321 -2.571 -0.603
Ce -3.912 -7.742 -1.794
Ce -5.049 -4.253 0.211
As -2.616 -5.157 -1.198
As -2.871 -8.859 0.746
As -0.241 -3.700 1.905
As -0.489 -7.401 3.830
As -3.961 -5.381 2.706
H 0.000 0.000 0.000

=====

Entry 11:
11
Lattice="4.069 0.000 0.000 0.000 6.661 -0.497 -2.034 -2.670 9.225" Properties=species:S:1:pos:R:3 comment="Ce4As5H2 | Alexandria via LeMat-Bulk | GGA-PBE | relaxed" dft_energy_ev_per_atom=-5.56 dos_at_fermi_per_ev_cell=9.5 spacegroup="No. 12" volume_a3_per_atom=22.24 pbc="T T T"
Ce 2.034 -0.731 9.080
Ce 0.000 0.409 5.525
Ce 0.000 4.723 -0.351
Ce 2.034 3.583 3.203
As 2.034 0.000 0.000
As 0.000 1.489 2.787
As 2.034 -1.600 6.245
As 2.034 2.502 5.941
As 0.000 5.592 2.483
H 2.034 3.403 0.783
H 0.000 0.588 7.945

=====

Entry 12:
80
Lattice="13.303 0.000 0.000 -4.434 12.542 0.000 -4.434 -6.271 10.862" Properties=species:S:1:pos:R:3 comment="Ce12As3H5 | Alexandria via LeMat-Bulk | GGA-PBE | relaxed" dft_energy_ev_per_atom=-5.50 dos_at_fermi_per_ev_cell=256.0 spacegroup="No. 230" volume_a3_per_atom=22.65 pbc="T T T"
As 7.760 8.623 1.358
As 3.326 0.000 8.146
As -5.543 6.271 8.146
As 1.109 6.271 2.715
As -3.326 2.352 9.504
As 3.326 7.055 6.789
As -3.326 -2.352 9.504
As 5.543 0.784 4.073
As -1.109 5.487 6.789
As 1.109 -0.784 4.073
As 9.977 0.000 2.715
As 7.760 3.919 1.358
Ce -4.417 9.011 4.213
Ce -5.552 3.203 7.750
Ce 9.533 6.185 2.052
Ce -1.781 -0.612 5.164
Ce 6.635 11.290 0.267
Ce 4.451 2.278 6.382
Ce 3.998 -1.643 3.379
Ce 9.986 3.068 3.112
Ce 7.751 -4.297 9.644
Ce -0.017 3.993 4.479
Ce -0.664 4.451 0.951
Ce 1.100 1.093 6.532
Ce -1.117 7.364 4.330
Ce -1.100 -3.203 7.750
Ce 5.534 9.474 3.112
Ce 1.553 1.734 9.761
Ce 7.088 -1.031 2.319
Ce 3.335 5.178 4.330
Ce 2.200 -2.278 6.382
Ce -2.200 2.740 6.649
Ce 1.553 -1.820 9.910
Ce 0.436 7.914 7.483
Ce 5.987 6.357 2.052
Ce -2.653 7.302 8.543
Ce 6.215 6.883 5.698
Ce 4.871 5.240 8.543
Ce 8.432 0.612 5.164
Ce 5.534 1.974 1.218
Ce -3.317 10.568 1.218
Ce 2.881 8.092 0.951
Ce 8.852 -2.740 6.649
Ce 2.234 8.549 4.479
Ce -1.553 -0.086 8.810
Ce 2.653 1.643 3.379
Ce 6.635 3.531 4.213
Ce -4.451 5.018 10.595
Ce 5.099 1.820 9.910
Ce 1.781 4.628 7.483
Ce 5.099 -1.734 9.761
Ce -5.099 0.086 8.810
Ce 5.552 -1.093 6.532
Ce 8.885 1.253 0.267
Ce 2.881 4.537 1.101
Ce -2.200 -5.018 10.595
Ce -0.664 8.005 1.101
Ce -1.100 4.297 9.644
Ce -0.436 1.031 2.319
Ce -3.998 5.659 5.698
H -4.434 3.136 5.431
H -1.109 0.784 6.789
H -1.109 10.190 1.358
H -2.217 6.271 0.000
H 4.434 6.271 0.000
H 1.109 3.919 9.504
H 6.651 0.000 0.000
H 3.326 9.407 2.715
H 5.543 3.136 8.146
H 7.760 -0.784 6.789
H 1.109 -3.136 8.146
H 2.217 3.136 5.431
H 5.543 5.487 4.073
H -2.217 -3.136 5.431
H 4.434 -3.136 5.431
H 3.326 2.352 1.358
H -3.326 7.055 4.073
H 0.000 0.000 0.000
H -1.109 3.136 2.715
H 5.543 -3.919 9.504

=====

Entry 13:
12
Lattice="4.007 0.000 0.000 -2.003 3.470 0.000 0.000 0.000 13.515" Properties=species:S:1:pos:R:3 comment="Ce2AsH3 | Alexandria via LeMat-Bulk | GGA-PBE | relaxed" dft_energy_ev_per_atom=-5.18 dos_at_fermi_per_ev_cell=27.9 spacegroup="No. 194" volume_a3_per_atom=15.66 pbc="T T T"
Ce 0.000 2.313 12.063
Ce 0.000 2.313 8.209
Ce 2.003 1.157 5.306
Ce 2.003 1.157 1.452
As 0.000 0.000 3.379
As 0.000 0.000 10.136
H 0.000 0.000 6.758
H 2.003 1.157 12.572
H 0.000 0.000 0.000
H 2.003 1.157 7.700
H 0.000 2.313 5.815
H 0.000 2.313 0.943

=====

Entry 14:
4
Lattice="-3.719 0.017 -1.295 -0.958 -1.986 -3.263 -2.821 -5.891 2.036" Properties=species:S:1:pos:R:3 comment="Ce2AsH | Alexandria via LeMat-Bulk | GGA-PBE | relaxed" dos_at_fermi_per_ev_cell=7.6 spacegroup="No. 160" volume_a3_per_atom=21.67 de_polymorph_ev_per_atom=0.0205 pbc="T T T"
Ce -2.461 -4.396 1.021
Ce -1.911 -2.116 -0.528
H -3.762 -3.981 -1.226
As -5.935 -7.186 -1.014

=====

Entry 15:
14
Lattice="3.875 0.000 -0.924 0.000 7.158 0.000 0.272 0.000 9.730" Properties=species:S:1:pos:R:3 comment="Ce3As2H2 | Alexandria via LeMat-Bulk | GGA-PBE | relaxed" dos_at_fermi_per_ev_cell=32.1 spacegroup="No. 63" volume_a3_per_atom=19.40 de_polymorph_ev_per_atom=0.0409 pbc="T T T"
H 2.821 6.690 3.242
H 1.326 0.468 5.564
H 1.326 3.111 5.564
H 2.821 4.047 3.242
As 3.422 5.368 5.765
As 4.002 1.789 8.197
As 0.145 5.368 0.609
As 0.725 1.789 3.041
Ce 3.172 1.789 4.718
Ce 0.975 5.368 4.089
Ce 2.307 3.383 1.087
Ce 1.840 3.775 7.719
Ce 1.840 6.962 7.719
Ce 2.307 0.196 1.087

=====

Entry 16:
10
Lattice="-3.304 0.039 -4.911 -3.487 -6.175 -1.271 -6.784 2.203 1.015" Properties=species:S:1:pos:R:3 comment="Ce5As4H | Alexandria via LeMat-Bulk | GGA-PBE | relaxed" dft_energy_ev_per_atom=-6.29 dos_at_fermi_per_ev_cell=25.5 spacegroup="No. 79" volume_a3_per_atom=25.54 pbc="T T T"
As -9.509 -3.559 -4.332
As -4.065 -0.374 -0.834
As -8.120 -0.684 -1.676
As -5.454 -3.249 -3.490
Ce -7.874 -3.622 -1.864
Ce -3.765 -3.290 -1.058
Ce -1.576 0.019 -2.342
Ce -9.808 -0.643 -4.106
Ce -5.699 -0.311 -3.301
H -0.117 0.001 -0.174

=====

Entry 17:
10
Lattice="4.228 0.000 0.000 0.000 6.870 -2.807 -2.114 -4.067 10.213" Properties=species:S:1:pos:R:3 comment="Ce4As5H | Alexandria via LeMat-Bulk | GGA-PBE | relaxed" dft_energy_ev_per_atom=-5.90 dos_at_fermi_per_ev_cell=13.7 spacegroup="No. 12" volume_a3_per_atom=24.84 pbc="T T T"
Ce 2.114 -0.538 3.879
Ce 2.114 1.163 7.890
Ce 0.000 1.640 -0.484
Ce 0.000 3.341 3.527
As 0.000 0.766 2.281
As 2.114 -1.490 6.596
As 0.000 4.294 0.810
As 2.114 2.037 5.125
As 2.114 3.435 -1.403
H 2.114 0.000 0.000

=====

Entry 18:
14
Lattice="-0.710 -6.677 1.413 3.972 -2.941 4.759 -3.398 -1.746 6.703" Properties=species:S:1:pos:R:3 comment="Ce3AsH3 | Alexandria via LeMat-Bulk | GGA-PBE | relaxed" dft_energy_ev_per_atom=-5.30 dos_at_fermi_per_ev_cell=37.9 spacegroup="No. 148" volume_a3_per_atom=19.28 pbc="T T T"
As 1.087 -3.206 2.057
As -1.222 -8.158 10.817
H 0.236 -8.066 6.291
H 2.048 -4.667 6.973
H -0.371 -3.299 6.584
H -2.184 -6.697 5.902
H -0.792 -4.865 4.292
H 0.657 -6.499 8.582
Ce 1.221 -3.769 4.923
Ce 2.278 -7.034 6.969
Ce 0.490 -4.120 8.642
Ce -1.356 -7.595 7.951
Ce -2.413 -4.330 5.905
Ce -0.625 -7.244 4.233

=====

Entry 19:
4
Lattice="-0.434 0.095 -4.070 2.346 -2.381 -2.365 -4.638 -6.386 -1.715" Properties=species:S:1:pos:R:3 comment="Ce2AsH | Alexandria via LeMat-Bulk | GGA-PBE | relaxed" dos_at_fermi_per_ev_cell=12.7 spacegroup="No. 166" volume_a3_per_atom=28.03 de_polymorph_ev_per_atom=0.1997 pbc="T T T"
Ce 0.442 -3.853 -6.315
Ce -3.168 -4.819 -1.835
H 0.000 0.000 0.000
As -1.363 -4.336 -4.075